The following is a meta-GGA SCAN calculation of a PBEsol-optimized structure of Mg3Ag, from Alexandria via LeMat-Bulk.

Lattice parameters (Å, degrees): 4.276 4.276 4.276 90.00 90.00 90.00
Positions (direct):
Mg1 0.000 0.000 0.500
Mg2 0.000 0.500 0.000
Mg3 0.500 0.000 0.000
Ag1 0.500 0.500 0.500

## Properties
DOS(E_F): 1.530 states/eV/f.u.
uncorrected energy: -46.8 eV/cell
space group: Pm-3m